<a>
Here is a relaxed HoZrCd2 crystal from the Alexandria database. Energies are from PBE.

```
data_HoZrCd2
_chemical_formula_sum 'Ho1 Zr1 Cd2'
_symmetry_space_group_name_H-M 'P 1'
_symmetry_Int_Tables_number 1
_symmetry_space_group_name_Hall 'P 1'
_cell_length_a 3.630
_cell_length_b 3.630
_cell_length_c 7.205
_cell_angle_alpha 90.00
_cell_angle_beta 90.00
_cell_angle_gamma 90.00
loop_
_atom_site_label
_atom_site_type_symbol
_atom_site_fract_x
_atom_site_fract_y
_atom_site_fract_z
_atom_site_occupancy
Ho1 Ho 0.500 0.500 0.500 1
Zr1 Zr 0.500 0.500 0.000 1
Cd1 Cd 0.000 0.000 0.766 1
Cd2 Cd 0.000 0.000 0.234 1
```

Computed properties:
**Calculated volume**: 23.73 A^3/atom
**Magnetic moment**: 0.01 μB/f.u.
**Symmetry**: P4/mmm (123)
**D(E_F)**: 5.18 states/eV/cell



<b>
Here is a relaxed HoZrCd2 crystal from the Alexandria database. Energies are from PBE.

```
data_HoZrCd2
_chemical_formula_sum 'Ho1 Zr1 Cd2'
_symmetry_space_group_name_H-M 'P 1'
_symmetry_Int_Tables_number 1
_symmetry_space_group_name_Hall 'P 1'
_cell_length_a 5.123
_cell_length_b 5.123
_cell_length_c 5.123
_cell_angle_alpha 60.00
_cell_angle_beta 60.00
_cell_angle_gamma 60.00
loop_
_atom_site_label
_atom_site_type_symbol
_atom_site_fract_x
_atom_site_fract_y
_atom_site_fract_z
_atom_site_occupancy
Ho1 Ho 0.000 0.000 0.000 1
Zr1 Zr 0.500 0.500 0.500 1
Cd1 Cd 0.250 0.250 0.250 1
Cd2 Cd 0.750 0.750 0.750 1
```

Computed properties:
**Calculated volume**: 23.76 A^3/atom
**Magnetic moment**: 0.68 μB/f.u.
**Symmetry**: Fm-3m (225)
**D(E_F)**: 4.50 states/eV/cell



Stability check: which of them is least stable? <b>.



<a>
Here is a relaxed Cd2I crystal from the Alexandria database. Energies are from PBE.

```
data_Cd2I
_chemical_formula_sum 'Cd4 I2'
_symmetry_space_group_name_H-M 'P 1'
_symmetry_Int_Tables_number 1
_symmetry_space_group_name_Hall 'P 1'
_cell_length_a 6.285
_cell_length_b 6.285
_cell_length_c 6.285
_cell_angle_alpha 60.00
_cell_angle_beta 60.00
_cell_angle_gamma 60.00
loop_
_atom_site_label
_atom_site_type_symbol
_atom_site_fract_x
_atom_site_fract_y
_atom_site_fract_z
_atom_site_occupancy
I1 I 0.000 0.000 0.000 1
I2 I 0.250 0.250 0.250 1
Cd1 Cd 0.125 0.625 0.625 1
Cd2 Cd 0.625 0.125 0.625 1
Cd3 Cd 0.625 0.625 0.625 1
Cd4 Cd 0.625 0.625 0.125 1
```

Computed properties:
**Calculated volume**: 29.26 A^3/atom
**Magnetic moment**: 0.00 μB/f.u.
**Symmetry**: Fd-3m (227)
**D(E_F)**: 6.37 states/eV/cell



<b>
Here is a relaxed Cd2I crystal from the Alexandria database. Energies are from PBE.

```
data_Cd2I
_chemical_formula_sum 'Cd2 I1'
_symmetry_space_group_name_H-M 'P 1'
_symmetry_Int_Tables_number 1
_symmetry_space_group_name_Hall 'P 1'
_cell_length_a 3.805
_cell_length_b 3.805
_cell_length_c 6.671
_cell_angle_alpha 106.57
_cell_angle_beta 106.57
_cell_angle_gamma 90.00
loop_
_atom_site_label
_atom_site_type_symbol
_atom_site_fract_x
_atom_site_fract_y
_atom_site_fract_z
_atom_site_occupancy
I1 I 0.000 0.000 0.000 1
Cd1 Cd 0.680 0.680 0.361 1
Cd2 Cd 0.320 0.320 0.639 1
```

Computed properties:
**Calculated volume**: 29.47 A^3/atom
**Magnetic moment**: 0.00 μB/f.u.
**Symmetry**: I4/mmm (139)
**D(E_F)**: 1.50 states/eV/cell



Stability check: which of them is least stable? <a>.